Entry 1:
VASP calculation (PBE-GGA) on a geometry-optimized PrSmZnGa structure. Values from VASP.

Cell and atoms, written as Quantum ESPRESSO input:
```
&SYSTEM
  ibrav = 0, nat = 16, ntyp = 4
/
ATOMIC_SPECIES
Pr 140.91 Pr.upf
Sm 150.36 Sm.upf
Zn 65.41 Zn.upf
Ga 69.72 Ga.upf
ATOMIC_POSITIONS crystal
Pr 0.000 0.000 0.000
Pr 0.000 0.500 0.500
Pr 0.500 0.000 0.500
Pr 0.500 0.500 0.000
Sm 0.000 0.000 0.500
Sm 0.000 0.500 0.000
Sm 0.500 0.000 0.000
Sm 0.500 0.500 0.500
Zn 0.250 0.250 0.250
Zn 0.250 0.750 0.750
Zn 0.750 0.250 0.750
Zn 0.750 0.750 0.250
Ga 0.250 0.250 0.750
Ga 0.250 0.750 0.250
Ga 0.750 0.250 0.250
Ga 0.750 0.750 0.750
CELL_PARAMETERS angstrom
7.378 0.000 0.000
0.000 7.378 0.000
0.000 0.000 7.378
```

Calculated values
The final energy comes out at -3.892 eV/atom. Its symmetry is F-43m, No. 216. The calculation puts the formation energy at -442 meV/atom. As for the density of states at the Fermi level: 17.37 states/eV per cell.

---

Entry 2:
VASP calculation (PBE-GGA) on a geometry-optimized PuMgGe2Pd2 structure. Values from VASP.

Cell and atoms, written as Quantum ESPRESSO input:
```
&SYSTEM
  ibrav = 0, nat = 6, ntyp = 4
/
ATOMIC_SPECIES
Pu 244.00 Pu.upf
Mg 24.30 Mg.upf
Ge 72.64 Ge.upf
Pd 106.42 Pd.upf
ATOMIC_POSITIONS crystal
Pu 0.000 0.000 0.000
Mg 0.000 0.000 0.500
Ge 0.333 0.667 0.248
Ge 0.667 0.333 0.752
Pd 0.333 0.667 0.647
Pd 0.667 0.333 0.353
CELL_PARAMETERS angstrom
4.344 0.000 0.000
-2.172 3.762 0.000
0.000 0.000 6.810
```

Calculated values
The final energy comes out at -6.527 eV/atom. Its symmetry is P-3m1, No. 164. The calculation puts the formation energy at -602 meV/atom. As for the density of states at the Fermi level: 11.81 states/eV per cell.

---

Entry 3:
VASP calculation (PBE-GGA) on a geometry-optimized NaReNi structure. Values from VASP.

Cell and atoms, written as Quantum ESPRESSO input:
```
&SYSTEM
  ibrav = 0, nat = 6, ntyp = 3
/
ATOMIC_SPECIES
Na 22.99 Na.upf
Re 186.21 Re.upf
Ni 58.69 Ni.upf
ATOMIC_POSITIONS crystal
Na 0.172 0.219 0.146
Na 0.828 0.781 0.854
Re 0.051 0.673 0.395
Re 0.949 0.327 0.605
Ni 0.452 0.822 0.598
Ni 0.548 0.178 0.402
CELL_PARAMETERS angstrom
2.609 0.000 0.000
0.000 4.467 0.000
1.273 0.773 10.069
```

Calculated values
The final energy comes out at -6.130 eV/atom. Its symmetry is P-1, No. 2. The calculation puts the formation energy at 386 meV/atom. As for the density of states at the Fermi level: 3.26 states/eV per cell.

---

Entry 4:
VASP calculation (PBE-GGA) on a geometry-optimized Ac6GeN2Cl3 structure. Values from VASP.

Cell and atoms, written as Quantum ESPRESSO input:
```
&SYSTEM
  ibrav = 0, nat = 12, ntyp = 4
/
ATOMIC_SPECIES
Ac 227.00 Ac.upf
Ge 72.64 Ge.upf
N 14.01 N.upf
Cl 35.45 Cl.upf
ATOMIC_POSITIONS crystal
Ac 0.027 0.027 0.259
Ac 0.318 0.318 0.444
Ac 0.332 0.332 0.870
Ac 0.668 0.668 0.130
Ac 0.682 0.682 0.556
Ac 0.973 0.973 0.741
Ge 0.500 0.500 0.000
N 0.175 0.175 0.341
N 0.825 0.825 0.659
Cl 0.158 0.158 0.824
Cl 0.500 0.500 0.500
Cl 0.842 0.842 0.176
CELL_PARAMETERS angstrom
9.631 -2.060 0.000
9.631 2.060 0.000
-2.965 0.000 8.411
```

Calculated values
The final energy comes out at -5.572 eV/atom. Its symmetry is C2/m, No. 12. The formation energy (no corrections) comes out at -1.2840 eV/atom. As for the density of states at the Fermi level: 4.94 states/eV per cell.